TiBeCr2Mo after structural relaxation, computed with GGA-PBE.

Cell lengths 4.200, 4.589, 4.200 Å; angles 90.00, 90.00, 90.00 degrees
Last column: magnetic moment on the atom in μB.
Fractional positions:
1 Cr 0.000 0.000 0.500  0.07
2 Be 0.500 0.500 0.500  0.00
3 Cr 0.500 0.000 0.000  0.09
4 Ti 0.000 0.000 0.000  -0.01
5 Mo 0.000 0.500 0.000  -0.04

Output
The crystal system is tetragonal. The density of states at the Fermi level comes out at 5.41 states/eV/cell. For the energy relative to the elements, the calculation gives 1.6973 eV/atom. The symmetry is P4/mmm.



BeCrN3 after structural relaxation, computed with GGA-PBE.

Cell lengths 3.657, 3.657, 3.657 Å; angles 90.00, 90.00, 90.00 degrees
Fractional positions:
1 N 0.000 0.500 0.000
2 N 0.000 0.000 0.500
3 Be 0.500 0.500 0.500
4 N 0.500 0.000 0.000
5 Cr 0.000 0.000 0.000

Output
The crystal system is cubic. The density of states at the Fermi level comes out at 2.45 states/eV/cell. Its formation energy from raw total energies is 104 kJ/mol of atoms. The symmetry is Pm-3m.



Be2CrN after structural relaxation, computed with GGA-PBE.

Cell lengths 5.902, 5.902, 4.608 Å; angles 50.18, 50.18, 90.00 degrees
Last column: magnetic moment on the atom in μB.
Fractional positions:
1 Cr 0.750 0.250 0.500  1.46
2 Be 0.875 0.774 0.750  -0.03
3 Be 0.524 0.125 0.250  -0.03
4 Be 0.375 0.476 0.750  -0.03
5 N 0.500 0.500 0.000  0.03
6 Cr 0.000 0.000 0.000  1.48
7 Be 0.226 0.625 0.250  -0.03
8 N 0.250 0.750 0.500  0.03

Output
The crystal system is tetragonal. The density of states at the Fermi level comes out at 5.50 states/eV/cell. Its formation energy from raw total energies is -3 kJ/mol of atoms. The symmetry is I-42d.



Be3CrN after structural relaxation, computed with GGA-PBE.

Cell lengths 3.562, 3.562, 3.562 Å; angles 90.00, 90.00, 90.00 degrees
Last column: magnetic moment on the atom in μB.
Fractional positions:
1 N 0.000 0.000 0.000  0.16
2 Be 0.000 0.000 0.500  -0.02
3 Cr 0.500 0.500 0.500  2.77
4 Be 0.000 0.500 0.000  -0.01
5 Be 0.500 0.000 0.000  -0.03

Output
The crystal system is cubic. The density of states at the Fermi level comes out at 1.43 states/eV/cell. Its formation energy from raw total energies is 25 kJ/mol of atoms. The value obtained for the energy above the most stable polymorph in this dataset is 0.000 eV/atom. The symmetry is Pm-3m.



BeCr2N after structural relaxation, computed with GGA-PBE.

Cell lengths 3.693, 3.693, 3.693 Å; angles 60.00, 60.00, 60.00 degrees
Fractional positions:
1 Be 0.000 0.000 0.000
2 N 0.500 0.500 0.500
3 Cr 0.750 0.750 0.750
4 Cr 0.250 0.250 0.250

Output
The crystal system is cubic. The density of states at the Fermi level comes out at 3.27 states/eV/cell. Its formation energy from raw total energies is 65 kJ/mol of atoms. The value obtained for the energy above the most stable polymorph in this dataset is 0.529 eV/atom. The symmetry is Fm-3m.



BeCr3N after structural relaxation, computed with GGA-PBE.

Cell lengths 3.748, 3.748, 3.748 Å; angles 90.00, 90.00, 90.00 degrees
Fractional positions:
1 Cr 0.500 0.000 0.000
2 Be 0.500 0.500 0.500
3 Cr 0.000 0.500 0.000
4 N 0.000 0.000 0.000
5 Cr 0.000 0.000 0.500

Output
The crystal system is cubic. The density of states at the Fermi level comes out at 4.54 states/eV/cell. Its formation energy from raw total energies is -14 kJ/mol of atoms. The value obtained for the energy above the most stable polymorph in this dataset is 0.000 eV/atom. The symmetry is Pm-3m.



Density for the records above, in order: 5.268, 3.499, 4.100, 3.417, 5.922, 5.646 Mg/m³